Sr12Hg5N3, optimized geometry, DFT PBE; magnetization = 0.0 Bohr magnetons per cell; E_form (uncorrected) = 47 meV per atom; symmetry = No. 230; mass density = 4.72 g/cm³
1.0
15.654 0.000 0.000
-5.218 14.759 0.000
-5.218 -7.379 12.781
N Hg Sr
12 20 48
Direct
0.750 0.375 0.125
0.875 0.750 0.125
0.375 0.750 0.625
0.250 0.125 0.375
0.875 0.125 0.250
0.375 0.625 0.250
0.625 0.375 0.750
0.125 0.875 0.750
0.750 0.875 0.625
0.625 0.250 0.375
0.125 0.250 0.875
0.250 0.625 0.875
0.125 0.375 0.250
0.000 0.500 0.000
0.000 0.000 0.000
0.375 0.250 0.125
0.500 0.000 0.500
0.500 0.500 0.000
0.125 0.750 0.375
0.750 0.125 0.875
0.750 0.625 0.375
0.375 0.125 0.750
0.625 0.875 0.250
0.500 0.500 0.500
0.500 0.000 0.000
0.000 0.000 0.500
0.250 0.375 0.625
0.250 0.875 0.125
0.000 0.500 0.500
0.875 0.250 0.625
0.625 0.750 0.875
0.875 0.625 0.750
0.749 0.121 0.087
0.339 0.587 0.466
0.913 0.379 0.251
0.587 0.249 0.121
0.628 0.749 0.661
0.913 0.534 0.161
0.339 0.751 0.372
0.034 0.872 0.121
0.534 0.913 0.661
0.749 0.628 0.161
0.751 0.413 0.379
0.839 0.966 0.087
0.121 0.749 0.587
0.379 0.466 0.128
0.128 0.966 0.379
0.372 0.121 0.534
0.128 0.161 0.249
0.413 0.661 0.034
0.839 0.872 0.251
0.121 0.372 0.034
0.379 0.913 0.751
0.534 0.621 0.372
0.966 0.839 0.587
0.751 0.339 0.872
0.466 0.379 0.628
0.034 0.161 0.413
0.249 0.661 0.128
0.161 0.128 0.749
0.621 0.087 0.249
0.879 0.628 0.966
0.587 0.339 0.966
0.628 0.879 0.466
0.872 0.839 0.751
0.872 0.034 0.621
0.879 0.251 0.413
0.161 0.034 0.913
0.621 0.534 0.872
0.466 0.087 0.339
0.251 0.372 0.839
0.249 0.587 0.621
0.966 0.128 0.879
0.661 0.249 0.628
0.413 0.751 0.879
0.087 0.466 0.839
0.372 0.251 0.339
0.087 0.621 0.749
0.661 0.413 0.534
0.251 0.879 0.913